[1]
Compound: CePS
Source: Alexandria
Functional: meta-GGA SCAN
Structure: single point on PBEsol structure

abc: 5.447 5.407 16.080
angles: 90.00 90.00 90.00
Element x y z (fractional)
Ce (0.001, 0.250, 0.133)
Ce (0.002, 0.750, 0.355)
Ce (0.498, 0.250, 0.855)
Ce (0.499, 0.750, 0.633)
Ce (0.501, 0.250, 0.367)
Ce (0.502, 0.750, 0.145)
Ce (0.998, 0.250, 0.645)
Ce (0.999, 0.750, 0.867)
P (0.207, 0.002, 0.500)
P (0.207, 0.498, 0.500)
P (0.293, 0.502, 0.000)
P (0.293, 0.998, 0.000)
P (0.707, 0.002, 0.000)
P (0.707, 0.498, 0.000)
P (0.793, 0.502, 0.500)
P (0.793, 0.998, 0.500)
S (0.001, 0.250, 0.313)
S (0.001, 0.750, 0.178)
S (0.499, 0.250, 0.678)
S (0.499, 0.750, 0.813)
S (0.501, 0.250, 0.187)
S (0.501, 0.750, 0.322)
S (0.999, 0.250, 0.822)
S (0.999, 0.750, 0.687)

## Properties
raw formation energy	-1.720	eV/atom
total magnetization	4.79	μB/cell
density of states at the Fermi level	3.1	states/eV/f.u.

[2]
Compound: CeTlP2S6
Source: Alexandria
Functional: meta-GGA SCAN
Structure: single point on PBEsol structure

abc: 11.830 7.433 11.151
angles: 90.00 109.34 90.00
Element x y z (fractional)
Ce (0.149, 0.109, 0.403)
Ce (0.149, 0.391, 0.903)
Ce (0.851, 0.609, 0.097)
Ce (0.851, 0.891, 0.597)
Tl (0.372, 0.596, 0.628)
Tl (0.372, 0.904, 0.128)
Tl (0.628, 0.096, 0.872)
Tl (0.628, 0.404, 0.372)
P (0.170, 0.601, 0.245)
P (0.170, 0.899, 0.745)
P (0.290, 0.121, 0.731)
P (0.290, 0.379, 0.231)
P (0.710, 0.621, 0.769)
P (0.710, 0.879, 0.269)
P (0.830, 0.101, 0.255)
P (0.830, 0.399, 0.755)
S (0.050, 0.023, 0.815)
S (0.050, 0.477, 0.315)
S (0.088, 0.688, 0.064)
S (0.088, 0.812, 0.564)
S (0.172, 0.188, 0.137)
S (0.172, 0.312, 0.637)
S (0.276, 0.712, 0.860)
S (0.276, 0.788, 0.360)
S (0.371, 0.207, 0.911)
S (0.371, 0.293, 0.411)
S (0.384, 0.023, 0.625)
S (0.384, 0.477, 0.125)
S (0.616, 0.523, 0.875)
S (0.616, 0.977, 0.375)
S (0.629, 0.707, 0.589)
S (0.629, 0.793, 0.089)
S (0.724, 0.212, 0.640)
S (0.724, 0.288, 0.140)
S (0.828, 0.688, 0.363)
S (0.828, 0.812, 0.863)
S (0.912, 0.188, 0.436)
S (0.912, 0.312, 0.936)
S (0.950, 0.523, 0.685)
S (0.950, 0.977, 0.185)

## Properties
raw formation energy	-0.945	eV/atom
total magnetization	4.00	μB/cell

[3]
Compound: CeTl2P2S7
Source: Alexandria
Functional: meta-GGA SCAN
Structure: single point on PBEsol structure

abc: 9.151 6.637 20.314
angles: 90.00 108.36 90.00
Element x y z (fractional)
Ce (0.161, 0.028, 0.349)
Ce (0.161, 0.472, 0.849)
Ce (0.839, 0.528, 0.151)
Ce (0.839, 0.972, 0.651)
Tl (0.256, 0.520, 0.508)
Tl (0.256, 0.980, 0.008)
Tl (0.317, 0.022, 0.682)
Tl (0.317, 0.478, 0.182)
Tl (0.683, 0.522, 0.818)
Tl (0.683, 0.978, 0.318)
Tl (0.744, 0.020, 0.992)
Tl (0.744, 0.480, 0.492)
P (0.068, 0.510, 0.667)
P (0.068, 0.990, 0.167)
P (0.467, 0.008, 0.547)
P (0.467, 0.492, 0.047)
P (0.533, 0.508, 0.953)
P (0.533, 0.992, 0.453)
P (0.932, 0.010, 0.833)
P (0.932, 0.490, 0.333)
S (0.020, 0.242, 0.105)
S (0.020, 0.258, 0.605)
S (0.050, 0.747, 0.600)
S (0.050, 0.753, 0.100)
S (0.089, 0.063, 0.781)
S (0.089, 0.437, 0.281)
S (0.236, 0.025, 0.511)
S (0.236, 0.475, 0.011)
S (0.284, 0.009, 0.236)
S (0.284, 0.491, 0.736)
S (0.422, 0.749, 0.400)
S (0.422, 0.751, 0.900)
S (0.447, 0.247, 0.399)
S (0.447, 0.253, 0.899)
S (0.553, 0.747, 0.101)
S (0.553, 0.753, 0.601)
S (0.578, 0.249, 0.100)
S (0.578, 0.251, 0.600)
S (0.716, 0.509, 0.264)
S (0.716, 0.991, 0.764)
S (0.764, 0.525, 0.989)
S (0.764, 0.975, 0.489)
S (0.911, 0.563, 0.719)
S (0.911, 0.937, 0.219)
S (0.950, 0.247, 0.900)
S (0.950, 0.253, 0.400)
S (0.980, 0.742, 0.395)
S (0.980, 0.758, 0.895)

## Properties
raw formation energy	-0.880	eV/atom
total magnetization	4.00	μB/cell

[4]
Compound: Ce8Pd24Pb
Source: Alexandria
Functional: meta-GGA SCAN
Structure: single point on PBEsol structure

abc: 8.343 8.343 8.343
angles: 90.00 90.00 90.00
Element x y z (fractional)
Ce (0.247, 0.247, 0.247)
Ce (0.247, 0.247, 0.753)
Ce (0.247, 0.753, 0.247)
Ce (0.247, 0.753, 0.753)
Ce (0.753, 0.247, 0.247)
Ce (0.753, 0.247, 0.753)
Ce (0.753, 0.753, 0.247)
Ce (0.753, 0.753, 0.753)
Pd (0.000, 0.000, 0.325)
Pd (0.000, 0.000, 0.675)
Pd (0.000, 0.271, 0.500)
Pd (0.000, 0.325, 0.000)
Pd (0.000, 0.500, 0.271)
Pd (0.000, 0.500, 0.729)
Pd (0.000, 0.675, 0.000)
Pd (0.000, 0.729, 0.500)
Pd (0.256, 0.500, 0.500)
Pd (0.271, 0.000, 0.500)
Pd (0.271, 0.500, 0.000)
Pd (0.325, 0.000, 0.000)
Pd (0.500, 0.000, 0.271)
Pd (0.500, 0.000, 0.729)
Pd (0.500, 0.256, 0.500)
Pd (0.500, 0.271, 0.000)
Pd (0.500, 0.500, 0.256)
Pd (0.500, 0.500, 0.744)
Pd (0.500, 0.729, 0.000)
Pd (0.500, 0.744, 0.500)
Pd (0.675, 0.000, 0.000)
Pd (0.729, 0.000, 0.500)
Pd (0.729, 0.500, 0.000)
Pd (0.744, 0.500, 0.500)
Pb (0.000, 0.000, 0.000)

## Properties
ΔH_f (0 K)	-788	meV per atom
total magnetization	6.16	μB/cell
density of states at the Fermi level	31.7	states/eV/f.u.